# LiMg2InAg (PBE, relaxed)
data_LiMg2InAg
_space_group_name_H-M_alt 'P 1'
_space_group_IT_number 1
_cell_length_a 4.470
_cell_length_b 7.467
_cell_length_c 10.323
_cell_angle_alpha 135.14
_cell_angle_beta 90.00
_cell_angle_gamma 107.42
loop_
_space_group_symop_operation_xyz
'x,y,z'
loop_
_atom_site_label
_atom_site_fract_x
_atom_site_fract_y
_atom_site_fract_z
Mg1 0.882 0.764 0.132
Mg2 0.628 0.257 0.391
Li1 0.362 0.724 0.919
Li2 0.638 0.276 0.081
In1 0.641 0.282 0.700
In2 0.359 0.718 0.300
Mg3 0.118 0.236 0.868
Ag1 0.888 0.777 0.795
Mg4 0.372 0.743 0.609
Ag2 0.112 0.223 0.205
# DOS at the Fermi energy   0.2833 states/eV per atom
# ΔH_f (0 K)   -0.12 eV per atom


# Li6AgBi5 (PBE, relaxed)
data_Li6AgBi5
_space_group_name_H-M_alt 'P 1'
_space_group_IT_number 1
_cell_length_a 4.627
_cell_length_b 8.307
_cell_length_c 7.445
_cell_angle_alpha 90.00
_cell_angle_beta 71.90
_cell_angle_gamma 90.00
loop_
_space_group_symop_operation_xyz
'x,y,z'
loop_
_atom_site_label
_atom_site_fract_x
_atom_site_fract_y
_atom_site_fract_z
Bi1 0.331 0.500 0.338
Li1 0.500 0.253 0.000
Ag1 0.000 0.000 0.000
Li2 0.833 0.233 0.333
Li3 0.500 0.747 0.000
Li4 0.167 0.233 0.667
Bi2 0.000 0.500 0.000
Li5 0.833 0.767 0.333
Bi3 0.351 0.000 0.297
Bi4 0.669 0.500 0.662
Bi5 0.649 0.000 0.703
Li6 0.167 0.767 0.667
# DOS at the Fermi energy   0.3897 states/eV per atom
# ΔH_f (0 K)   -0.36 eV per atom


# InSnSb (PBE, relaxed)
data_InSnSb
_space_group_name_H-M_alt 'P 1'
_space_group_IT_number 1
_cell_length_a 4.346
_cell_length_b 4.346
_cell_length_c 11.354
_cell_angle_alpha 90.00
_cell_angle_beta 90.00
_cell_angle_gamma 120.00
loop_
_space_group_symop_operation_xyz
'x,y,z'
loop_
_atom_site_label
_atom_site_fract_x
_atom_site_fract_y
_atom_site_fract_z
In1 0.667 0.333 0.646
Sb1 0.000 0.000 0.816
In2 0.333 0.667 0.146
Sn1 0.667 0.333 0.963
Sn2 0.333 0.667 0.463
Sb2 0.000 0.000 0.316
# Polymorph energy (0 for the lowest one)   0.21 kJ/mol of atoms
# DOS at the Fermi energy   0.2005 states/eV per atom
# Uncorrected formation energy   0.00 eV per atom


# SiRu3W (PBE, relaxed)
data_SiRu3W
_space_group_name_H-M_alt 'P 1'
_space_group_IT_number 1
_cell_length_a 4.301
_cell_length_b 4.301
_cell_length_c 4.301
_cell_angle_alpha 90.00
_cell_angle_beta 90.00
_cell_angle_gamma 90.00
loop_
_space_group_symop_operation_xyz
'x,y,z'
loop_
_atom_site_label
_atom_site_fract_x
_atom_site_fract_y
_atom_site_fract_z
Ru1 0.000 0.000 0.500
Ru2 0.000 0.500 0.000
Ru3 0.500 0.000 0.000
W1 0.500 0.500 0.500
Si1 0.000 0.000 0.000
# Polymorph energy (0 for the lowest one)   0.00 kJ/mol of atoms
# DOS at the Fermi energy   1.9524 states/eV per atom
# Uncorrected formation energy   0.84 eV per atom


# Y2PbAu (PBE, relaxed)
data_Y2PbAu
_space_group_name_H-M_alt 'P 1'
_space_group_IT_number 1
_cell_length_a 4.349
_cell_length_b 4.349
_cell_length_c 6.159
_cell_angle_alpha 90.00
_cell_angle_beta 90.00
_cell_angle_gamma 90.00
loop_
_space_group_symop_operation_xyz
'x,y,z'
loop_
_atom_site_label
_atom_site_fract_x
_atom_site_fract_y
_atom_site_fract_z
Y1 0.500 0.500 0.372
Pb1 0.500 0.500 0.872
Au1 0.000 0.000 0.377
Y2 0.000 0.000 0.879
# DOS at the Fermi energy   0.9973 states/eV per atom
# ΔH_f (0 K)   -0.48 eV per atom


# LiAcCeS3 (PBE, relaxed)
data_LiAcCeS3
_space_group_name_H-M_alt 'P 1'
_space_group_IT_number 1
_cell_length_a 4.031
_cell_length_b 8.528
_cell_length_c 8.757
_cell_angle_alpha 102.79
_cell_angle_beta 90.00
_cell_angle_gamma 90.00
loop_
_space_group_symop_operation_xyz
'x,y,z'
loop_
_atom_site_label
_atom_site_fract_x
_atom_site_fract_y
_atom_site_fract_z
Ce1 0.750 0.344 0.837
Li1 0.750 0.912 0.412
S1 0.750 0.199 0.503
Li2 0.250 0.088 0.588
S2 0.250 0.576 0.826
S3 0.750 0.424 0.174
Ac1 0.750 0.820 0.777
S4 0.250 0.801 0.497
S5 0.750 0.896 0.136
S6 0.250 0.104 0.864
Ce2 0.250 0.656 0.163
Ac2 0.250 0.180 0.223
# DOS at the Fermi energy   1.0005 states/eV per atom
# Uncorrected formation energy   -1.84 eV per atom


# MnTc2 (PBE, relaxed)
data_MnTc2
_space_group_name_H-M_alt 'P 1'
_space_group_IT_number 1
_cell_length_a 6.083
_cell_length_b 6.083
_cell_length_c 3.895
_cell_angle_alpha 90.00
_cell_angle_beta 90.00
_cell_angle_gamma 120.00
loop_
_space_group_symop_operation_xyz
'x,y,z'
loop_
_atom_site_label
_atom_site_fract_x
_atom_site_fract_y
_atom_site_fract_z
Tc1 0.744 0.744 0.000
Mn1 0.333 0.667 0.000
Mn2 0.000 0.000 0.500
Tc2 0.589 0.000 0.500
Tc3 0.000 0.256 0.000
Tc4 0.411 0.411 0.500
Tc5 0.256 0.000 0.000
Tc6 0.000 0.589 0.500
Mn3 0.667 0.333 0.000
# Polymorph energy (0 for the lowest one)   23.48 kJ/mol of atoms
# DOS at the Fermi energy   1.0900 states/eV per atom
# ΔH_f (0 K)   0.24 eV per atom


# HfF (PBE, relaxed)
data_HfF
_space_group_name_H-M_alt 'P 1'
_space_group_IT_number 1
_cell_length_a 9.463
_cell_length_b 9.463
_cell_length_c 3.137
_cell_angle_alpha 90.00
_cell_angle_beta 90.00
_cell_angle_gamma 90.00
loop_
_space_group_symop_operation_xyz
'x,y,z'
loop_
_atom_site_label
_atom_site_fract_x
_atom_site_fract_y
_atom_site_fract_z
Hf1 0.620 0.897 0.500
F1 0.310 0.482 0.500
Hf2 0.205 0.359 0.000
Hf3 0.359 0.795 0.000
Hf4 0.795 0.641 0.000
F2 0.984 0.757 0.000
Hf5 0.897 0.380 0.500
F3 0.757 0.016 0.000
F4 0.482 0.690 0.500
F5 0.243 0.984 0.000
Hf6 0.103 0.620 0.500
Hf7 0.380 0.103 0.500
Hf8 0.641 0.205 0.000
F6 0.690 0.518 0.500
F7 0.518 0.310 0.500
F8 0.016 0.243 0.000
# Polymorph energy (0 for the lowest one)   24.02 kJ/mol of atoms
# DOS at the Fermi energy   0.8029 states/eV per atom
# Uncorrected formation energy   -1.89 eV per atom


# Pr3YTl2 (PBE, relaxed)
data_Pr3YTl2
_space_group_name_H-M_alt 'P 1'
_space_group_IT_number 1
_cell_length_a 5.072
_cell_length_b 8.690
_cell_length_c 10.437
_cell_angle_alpha 117.09
_cell_angle_beta 90.00
_cell_angle_gamma 106.97
loop_
_space_group_symop_operation_xyz
'x,y,z'
loop_
_atom_site_label
_atom_site_fract_x
_atom_site_fract_y
_atom_site_fract_z
Tl1 0.490 0.980 0.139
Pr1 0.712 0.424 0.380
Tl2 0.242 0.485 0.899
Pr2 0.958 0.916 0.639
Y1 0.882 0.764 0.935
Tl3 0.758 0.515 0.101
Pr3 0.288 0.576 0.620
Tl4 0.510 0.020 0.861
Pr4 0.634 0.267 0.676
Pr5 0.042 0.084 0.361
Pr6 0.366 0.733 0.324
Y2 0.118 0.236 0.065
# Polymorph energy (0 for the lowest one)   8.34 kJ/mol of atoms
# DOS at the Fermi energy   1.0449 states/eV per atom
# ΔH_f (0 K)   -0.19 eV per atom


# TlAgGe (PBE, relaxed)
data_TlAgGe
_space_group_name_H-M_alt 'P 1'
_space_group_IT_number 1
_cell_length_a 6.180
_cell_length_b 4.209
_cell_length_c 6.187
_cell_angle_alpha 69.34
_cell_angle_beta 85.24
_cell_angle_gamma 69.31
loop_
_space_group_symop_operation_xyz
'x,y,z'
loop_
_atom_site_label
_atom_site_fract_x
_atom_site_fract_y
_atom_site_fract_z
Ag1 0.919 0.600 0.366
Ge1 0.054 0.758 0.918
Tl1 0.644 0.420 0.000
Ge2 0.233 0.258 0.737
Tl2 0.317 0.920 0.328
Ag2 0.682 0.099 0.603
# DOS at the Fermi energy   0.5036 states/eV per atom
# ΔH_f (0 K)   0.18 eV per atom


# TaInRh2 (PBE, relaxed)
data_TaInRh2
_space_group_name_H-M_alt 'P 1'
_space_group_IT_number 1
_cell_length_a 3.514
_cell_length_b 3.514
_cell_length_c 5.601
_cell_angle_alpha 90.00
_cell_angle_beta 90.00
_cell_angle_gamma 90.00
loop_
_space_group_symop_operation_xyz
'x,y,z'
loop_
_atom_site_label
_atom_site_fract_x
_atom_site_fract_y
_atom_site_fract_z
Rh1 0.000 0.000 0.989
Ta1 0.000 0.000 0.445
Rh2 0.500 0.500 0.285
In1 0.500 0.500 0.782
# DOS at the Fermi energy   0.7653 states/eV per atom
# ΔH_f (0 K)   -0.23 eV per atom


# NaAcAuO2 (PBE, relaxed)
data_NaAcAuO2
_space_group_name_H-M_alt 'P 1'
_space_group_IT_number 1
_cell_length_a 5.991
_cell_length_b 6.861
_cell_length_c 7.671
_cell_angle_alpha 119.34
_cell_angle_beta 90.00
_cell_angle_gamma 90.00
loop_
_space_group_symop_operation_xyz
'x,y,z'
loop_
_atom_site_label
_atom_site_fract_x
_atom_site_fract_y
_atom_site_fract_z
Ac1 0.507 0.000 0.250
Na1 0.864 0.500 0.750
Ac2 0.493 0.000 0.750
Au1 0.000 0.000 0.000
O1 0.307 0.836 0.424
Au2 0.000 0.000 0.500
O2 0.693 0.836 0.924
Na2 0.136 0.500 0.250
O3 0.693 0.164 0.576
O4 0.307 0.164 0.076
# DOS at the Fermi energy   0.3048 states/eV per atom
# Uncorrected formation energy   -1.58 eV per atom


# DyYTh2S4 (PBE, relaxed)
data_DyYTh2S4
_space_group_name_H-M_alt 'P 1'
_space_group_IT_number 1
_cell_length_a 3.944
_cell_length_b 6.763
_cell_length_c 7.054
_cell_angle_alpha 108.93
_cell_angle_beta 90.00
_cell_angle_gamma 90.00
loop_
_space_group_symop_operation_xyz
'x,y,z'
loop_
_atom_site_label
_atom_site_fract_x
_atom_site_fract_y
_atom_site_fract_z
Dy1 0.500 0.500 0.000
S1 0.000 0.745 0.234
Y1 0.000 0.000 0.000
S2 0.500 0.754 0.765
S3 0.500 0.246 0.235
Th1 0.000 0.500 0.500
S4 0.000 0.255 0.766
Th2 0.500 0.000 0.500
# DOS at the Fermi energy   0.6070 states/eV per atom
# Uncorrected formation energy   -1.91 eV per atom


# U2TiS6 (PBE, relaxed)
data_U2TiS6
_space_group_name_H-M_alt 'P 1'
_space_group_IT_number 1
_cell_length_a 6.165
_cell_length_b 6.165
_cell_length_c 11.529
_cell_angle_alpha 90.00
_cell_angle_beta 90.00
_cell_angle_gamma 90.00
loop_
_space_group_symop_operation_xyz
'x,y,z'
loop_
_atom_site_label
_atom_site_fract_x
_atom_site_fract_y
_atom_site_fract_z
S1 0.306 0.306 0.152
Ti1 0.000 0.000 0.500
U1 0.500 0.500 0.672
S2 0.796 0.204 0.000
S3 0.306 0.306 0.848
S4 0.204 0.796 0.000
S5 0.694 0.694 0.152
S6 0.296 0.296 0.500
U2 0.000 0.000 0.172
S7 0.194 0.806 0.348
U3 0.000 0.000 0.828
S8 0.806 0.194 0.348
Ti2 0.500 0.500 0.000
S9 0.704 0.704 0.500
S10 0.694 0.694 0.848
S11 0.806 0.194 0.652
U4 0.500 0.500 0.328
S12 0.194 0.806 0.652
# DOS at the Fermi energy   1.8168 states/eV per atom
# Uncorrected formation energy   -1.21 eV per atom


# Ca2Sm2Ho (PBE, relaxed)
data_Ca2Sm2Ho
_space_group_name_H-M_alt 'P 1'
_space_group_IT_number 1
_cell_length_a 4.593
_cell_length_b 4.593
_cell_length_c 9.351
_cell_angle_alpha 104.22
_cell_angle_beta 104.22
_cell_angle_gamma 90.00
loop_
_space_group_symop_operation_xyz
'x,y,z'
loop_
_atom_site_label
_atom_site_fract_x
_atom_site_fract_y
_atom_site_fract_z
Ca1 0.750 0.250 0.500
Ca2 0.250 0.750 0.500
Sm1 0.588 0.588 0.177
Sm2 0.412 0.412 0.823
Ho1 0.000 0.000 0.000
# Polymorph energy (0 for the lowest one)   34.34 kJ/mol of atoms
# DOS at the Fermi energy   1.5515 states/eV per atom
# ΔH_f (0 K)   0.40 eV per atom


# CsY2O (PBE, relaxed)
data_CsY2O
_space_group_name_H-M_alt 'P 1'
_space_group_IT_number 1
_cell_length_a 7.451
_cell_length_b 7.451
_cell_length_c 7.454
_cell_angle_alpha 60.01
_cell_angle_beta 60.01
_cell_angle_gamma 90.00
loop_
_space_group_symop_operation_xyz
'x,y,z'
loop_
_atom_site_label
_atom_site_fract_x
_atom_site_fract_y
_atom_site_fract_z
Y1 0.875 0.625 0.750
Y2 0.375 0.625 0.750
Cs1 0.000 0.000 0.000
Cs2 0.750 0.250 0.500
O1 0.500 0.500 0.000
Y3 0.375 0.125 0.250
Y4 0.375 0.625 0.250
O2 0.250 0.750 0.500
# DOS at the Fermi energy   1.1789 states/eV per atom
# Uncorrected formation energy   -1.02 eV per atom


# Hg2TeRh (PBE, relaxed)
data_Hg2TeRh
_space_group_name_H-M_alt 'P 1'
_space_group_IT_number 1
_cell_length_a 5.335
_cell_length_b 5.335
_cell_length_c 3.419
_cell_angle_alpha 90.00
_cell_angle_beta 90.00
_cell_angle_gamma 116.56
loop_
_space_group_symop_operation_xyz
'x,y,z'
loop_
_atom_site_label
_atom_site_fract_x
_atom_site_fract_y
_atom_site_fract_z
Te1 0.500 0.500 0.500
Rh1 0.000 0.000 0.500
Hg1 0.500 0.000 0.000
Hg2 0.000 0.500 0.000
# Polymorph energy (0 for the lowest one)   41.07 kJ/mol of atoms
# DOS at the Fermi energy   0.6712 states/eV per atom
# Uncorrected formation energy   0.34 eV per atom


# YPaRuPt (PBE, relaxed)
data_YPaRuPt
_space_group_name_H-M_alt 'P 1'
_space_group_IT_number 1
_cell_length_a 4.904
_cell_length_b 4.904
_cell_length_c 4.904
_cell_angle_alpha 60.00
_cell_angle_beta 60.00
_cell_angle_gamma 60.00
loop_
_space_group_symop_operation_xyz
'x,y,z'
loop_
_atom_site_label
_atom_site_fract_x
_atom_site_fract_y
_atom_site_fract_z
Pt1 0.750 0.750 0.750
Ru1 0.250 0.250 0.250
Y1 0.000 0.000 0.000
Pa1 0.500 0.500 0.500
# DOS at the Fermi energy   1.3713 states/eV per atom
# ΔH_f (0 K)   -0.62 eV per atom


# Ca2ZrCl (PBE, relaxed)
data_Ca2ZrCl
_space_group_name_H-M_alt 'P 1'
_space_group_IT_number 1
_cell_length_a 5.627
_cell_length_b 5.627
_cell_length_c 5.627
_cell_angle_alpha 60.00
_cell_angle_beta 60.00
_cell_angle_gamma 60.00
loop_
_space_group_symop_operation_xyz
'x,y,z'
loop_
_atom_site_label
_atom_site_fract_x
_atom_site_fract_y
_atom_site_fract_z
Ca1 0.250 0.250 0.250
Zr1 0.500 0.500 0.500
Ca2 0.750 0.750 0.750
Cl1 0.000 0.000 0.000
# Polymorph energy (0 for the lowest one)   82.38 kJ/mol of atoms
# DOS at the Fermi energy   0.8453 states/eV per atom
# Uncorrected formation energy   0.23 eV per atom


# Li2ErCu9 (PBE, relaxed)
data_Li2ErCu9
_space_group_name_H-M_alt 'P 1'
_space_group_IT_number 1
_cell_length_a 4.900
_cell_length_b 8.281
_cell_length_c 8.281
_cell_angle_alpha 90.00
_cell_angle_beta 90.00
_cell_angle_gamma 90.00
loop_
_space_group_symop_operation_xyz
'x,y,z'
loop_
_atom_site_label
_atom_site_fract_x
_atom_site_fract_y
_atom_site_fract_z
Cu1 0.500 0.292 0.440
Cu2 0.500 0.500 0.000
Cu3 0.242 0.819 0.319
Er1 0.000 0.000 0.000
Cu4 0.500 0.440 0.708
Cu5 0.242 0.681 0.819
Li1 0.000 0.615 0.115
Cu6 0.500 0.208 0.940
Cu7 0.500 0.940 0.792
Cu8 0.242 0.181 0.681
Cu9 0.758 0.319 0.181
Li2 0.000 0.385 0.885
Cu10 0.500 0.792 0.060
Cu11 0.500 0.060 0.208
Li3 0.000 0.115 0.385
Cu12 0.758 0.819 0.319
Cu13 0.242 0.319 0.181
Er2 0.000 0.500 0.500
Cu14 0.758 0.681 0.819
Cu15 0.758 0.181 0.681
Cu16 0.500 0.000 0.500
Cu17 0.500 0.708 0.560
Cu18 0.500 0.560 0.292
Li4 0.000 0.885 0.615
# Polymorph energy (0 for the lowest one)   0.79 kJ/mol of atoms
# DOS at the Fermi energy   0.5045 states/eV per atom
# ΔH_f (0 K)   -0.11 eV per atom